# 1
Computed, not measured: a geometry-optimized Y2BeRe structure at the PBEsol level of DFT.

Summary:
The calculation puts the calculated density at 6.8 g/cm³. Its density of states at the Fermi level is 4.06 states/eV/cell. The total energy is -7.65 eV per atom.

a b c (Å): 6.9980 6.9980 6.9980
angles (deg): 33.12 33.12 33.12
Element x y z (fractional)
Y 0.0000 0.0000 0.0000
Y 0.1761 0.1761 0.1761
Be 0.7559 0.7559 0.7559
Re 0.4211 0.4211 0.4211

=====

# 2
Computed, not measured: a geometry-optimized Be2ZnRe structure at the PBEsol level of DFT.

Summary:
The calculation puts the calculated density at 10.1 g/cm³. Its density of states at the Fermi level is 1.39 states/eV/cell. The total energy is -5.68 eV per atom.

a b c (Å): 4.5582 4.5582 4.1422
angles (deg): 108.23 108.23 33.10
Element x y z (fractional)
Be 0.0000 0.0000 0.0000
Be 0.7177 0.7177 0.3237
Zn 0.4698 0.4698 0.4838
Re 0.2482 0.2482 0.8476

=====

# 3
Computed, not measured: a geometry-optimized ZrBe2Re structure at the PBEsol level of DFT.

Summary:
The calculation puts the calculated density at 9.7 g/cm³. Its density of states at the Fermi level is 2.32 states/eV/cell. The total energy is -7.82 eV per atom.

a b c (Å): 3.3674 4.8854 4.8854
angles (deg): 39.21 90.00 90.00
Element x y z (fractional)
Zr 0.0000 0.0000 0.0000
Be 0.0000 0.2700 0.2700
Be 0.5000 0.3947 0.3947
Re 0.5000 0.6979 0.6979

=====

# 4
Computed, not measured: a geometry-optimized Zr2Be2Re structure at the PBEsol level of DFT.

Summary:
The calculation puts the calculated density at 8.7 g/cm³. Its density of states at the Fermi level is 10.85 states/eV/cell. The total energy is -8.08 eV per atom.

a b c (Å): 6.4789 6.4789 3.5049
angles (deg): 90.00 90.00 90.00
Element x y z (fractional)
Zr 0.1830 0.3170 0.0000
Zr 0.3170 0.8170 0.0000
Zr 0.6830 0.1830 0.0000
Zr 0.8170 0.6830 0.0000
Be 0.1170 0.6170 0.5000
Be 0.3830 0.1170 0.5000
Be 0.6170 0.8830 0.5000
Be 0.8830 0.3830 0.5000
Re 0.0000 0.0000 0.5000
Re 0.5000 0.5000 0.5000

=====

# 5
Computed, not measured: a geometry-optimized Zr2BeRe structure at the PBEsol level of DFT.

Summary:
The calculation puts the calculated density at 9.4 g/cm³. Its density of states at the Fermi level is 2.93 states/eV/cell. The total energy is -9.04 eV per atom.

a b c (Å): 4.5029 4.5029 3.3024
angles (deg): 90.00 90.00 90.00
Element x y z (fractional)
Zr 0.0000 0.5000 0.0000
Zr 0.5000 0.0000 0.0000
Be 0.0000 0.0000 0.5000
Re 0.5000 0.5000 0.5000

=====

# 6
Computed, not measured: a geometry-optimized Be3Rh structure at the PBEsol level of DFT.

Summary:
The calculation puts the calculated density at 5.8 g/cm³. Its density of states at the Fermi level is 2.13 states/eV/cell. The total energy is -5.48 eV per atom.

a b c (Å): 4.7837 4.7837 3.7232
angles (deg): 90.00 90.00 120.00
Element x y z (fractional)
Be 0.1605 0.3210 0.2500
Be 0.1605 0.8395 0.2500
Be 0.3210 0.1605 0.7500
Be 0.6790 0.8395 0.2500
Be 0.8395 0.1605 0.7500
Be 0.8395 0.6790 0.7500
Rh 0.3333 0.6667 0.7500
Rh 0.6667 0.3333 0.2500

=====

# 7
Computed, not measured: a geometry-optimized BeRh structure at the PBEsol level of DFT.

Summary:
The calculation puts the calculated density at 8.9 g/cm³. Its density of states at the Fermi level is 1.48 states/eV/cell. The total energy is -6.68 eV per atom.

a b c (Å): 2.7494 2.7494 2.7494
angles (deg): 90.00 90.00 90.00
Element x y z (fractional)
Be 0.0000 0.0000 0.0000
Rh 0.5000 0.5000 0.5000

=====

# 8
Computed, not measured: a geometry-optimized Be3Rh structure at the PBEsol level of DFT.

Summary:
The calculation puts the calculated density at 5.8 g/cm³. Its density of states at the Fermi level is 2.54 states/eV/cell. The total energy is -5.46 eV per atom.

a b c (Å): 7.2285 7.2285 7.2285
angles (deg): 153.54 153.54 37.77
Element x y z (fractional)
Be 0.0000 0.5000 0.5000
Be 0.1280 0.1280 0.0000
Be 0.2500 0.7500 0.5000
Be 0.5000 0.0000 0.5000
Be 0.7500 0.2500 0.5000
Be 0.8720 0.8720 0.0000
Rh 0.3777 0.3777 0.0000
Rh 0.6223 0.6223 0.0000

=====

# 9
Computed, not measured: a geometry-optimized Be3Rh structure at the PBEsol level of DFT.

Summary:
The calculation puts the calculated density at 2.9 g/cm³. Its density of states at the Fermi level is 1.51 states/eV/cell. The total energy is -4.24 eV per atom.

a b c (Å): 4.2004 4.2004 4.2004
angles (deg): 90.00 90.00 90.00
Element x y z (fractional)
Be 0.0000 0.0000 0.5000
Be 0.0000 0.5000 0.0000
Be 0.5000 0.0000 0.0000
Rh 0.0000 0.0000 0.0000

=====

# 10
Computed, not measured: a geometry-optimized Be4Rh structure at the PBEsol level of DFT.

Summary:
The calculation puts the calculated density at 5.1 g/cm³. Its density of states at the Fermi level is 1.40 states/eV/cell. The total energy is -5.15 eV per atom.

a b c (Å): 4.2650 4.2650 4.2650
angles (deg): 96.11 96.11 141.93
Element x y z (fractional)
Be 0.1056 0.6903 0.7960
Be 0.3097 0.1056 0.4153
Be 0.6903 0.8944 0.5847
Be 0.8944 0.3097 0.2040
Rh 0.5000 0.5000 0.0000

=====

# 11
Computed, not measured: a geometry-optimized Be3Rh structure at the PBEsol level of DFT.

Summary:
The calculation puts the calculated density at 5.7 g/cm³. Its density of states at the Fermi level is 1.62 states/eV/cell. The total energy is -5.43 eV per atom.

a b c (Å): 3.3677 3.3677 3.3087
angles (deg): 90.00 90.00 90.00
Element x y z (fractional)
Be 0.0000 0.0000 0.0000
Be 0.0000 0.5000 0.5000
Be 0.5000 0.0000 0.5000
Rh 0.5000 0.5000 0.0000

=====

# 12
Computed, not measured: a geometry-optimized BeRh7 structure at the PBEsol level of DFT.

Summary:
The calculation puts the calculated density at 11.7 g/cm³. Its density of states at the Fermi level is 8.95 states/eV/cell. The total energy is -7.69 eV per atom.

a b c (Å): 5.2760 5.2760 5.2760
angles (deg): 60.00 60.00 60.00
Element x y z (fractional)
Be 0.0000 0.0000 0.0000
Rh 0.0000 0.0000 0.5000
Rh 0.0000 0.5000 0.0000
Rh 0.0000 0.5000 0.5000
Rh 0.5000 0.0000 0.0000
Rh 0.5000 0.0000 0.5000
Rh 0.5000 0.5000 0.0000
Rh 0.5000 0.5000 0.5000

=====

# 13
Computed, not measured: a geometry-optimized Be3Rh structure at the PBEsol level of DFT.

Summary:
The calculation puts the calculated density at 5.9 g/cm³. Its density of states at the Fermi level is 2.57 states/eV/cell. The total energy is -5.50 eV per atom.

a b c (Å): 3.7001 4.6396 4.2858
angles (deg): 90.00 90.00 90.00
Element x y z (fractional)
Be 0.2500 0.0067 0.1508
Be 0.2500 0.4933 0.1508
Be 0.2500 0.7500 0.6850
Be 0.7500 0.2500 0.3150
Be 0.7500 0.5067 0.8492
Be 0.7500 0.9933 0.8492
Rh 0.2500 0.2500 0.6488
Rh 0.7500 0.7500 0.3512

=====

# 14
Computed, not measured: a geometry-optimized BeRh structure at the PBEsol level of DFT.

Summary:
The calculation puts the calculated density at 8.4 g/cm³. Its density of states at the Fermi level is 0.86 states/eV/cell. The total energy is -6.22 eV per atom.

a b c (Å): 3.1553 3.1553 3.1553
angles (deg): 60.00 60.00 60.00
Element x y z (fractional)
Be 0.0000 0.0000 0.0000
Rh 0.5000 0.5000 0.5000

=====

# 15
Computed, not measured: a geometry-optimized BeRh structure at the PBEsol level of DFT.

Summary:
The calculation puts the calculated density at 8.9 g/cm³. Its density of states at the Fermi level is 2.52 states/eV/cell. The total energy is -6.62 eV per atom.

a b c (Å): 4.3772 4.3772 3.6391
angles (deg): 90.00 90.00 143.26
Element x y z (fractional)
Be 0.0814 0.9186 0.7500
Be 0.9186 0.0814 0.2500
Rh 0.3583 0.6417 0.7500
Rh 0.6417 0.3583 0.2500